(1)
The following is a GGA-PBEsol calculation of crystalline AsRu2Au at its relaxed geometry, from Alexandria via LeMat-Bulk.

a = 2.795 Å, b = 2.795 Å, c = 7.890 Å
α = 90.00°, β = 90.00°, γ = 90.00°
Positions (direct):
As: 0.000 0.000 0.464
Ru: 0.000 0.000 0.028
Ru: 0.500 0.500 0.237
Au: 0.500 0.500 0.771

Summary:
- Magnetic moment: 0.0000 μB per atom
- Density: 12.8 g cm⁻³
- Energy relative to the elements: 193 meV/atom
- DFT total energy: -7.15 eV per atom

=====

(2)
The following is a GGA-PBEsol calculation of crystalline CrCo2Mo at its relaxed geometry, from Alexandria via LeMat-Bulk.

a = 2.542 Å, b = 4.383 Å, c = 4.383 Å
α = 109.57°, β = 90.00°, γ = 90.00°
Positions (direct):
Co: 0.000 0.500 0.000
Co: 0.000 0.000 0.500
Mo: 0.500 0.000 0.000
Cr: 0.500 0.500 0.500

Summary:
- Magnetic moment: 0.0001 μB per atom
- Density: 9.6 g cm⁻³
- Energy relative to the elements: 47 meV/atom
- DFT total energy: -9.32 eV per atom

=====

(3)
The following is a GGA-PBEsol calculation of crystalline KRuPt2 at its relaxed geometry, from Alexandria via LeMat-Bulk.

a = 4.169 Å, b = 4.169 Å, c = 4.855 Å
α = 115.43°, β = 115.43°, γ = 90.00°
Last column: magnetic moment on the atom in μB.
Positions (direct):
K: 0.000 0.000 0.000  0.00
Ru: 0.500 0.500 0.000  0.99
Pt: 0.250 0.750 0.500  0.19
Pt: 0.750 0.250 0.500  0.19

Summary:
- Magnetic moment: 0.3536 μB per atom
- Density: 13.1 g cm⁻³
- Energy relative to the elements: 945 meV/atom
- DFT total energy: -5.36 eV per atom

=====

(4)
The following is a GGA-PBEsol calculation of crystalline RbO2F2 at its relaxed geometry, from Alexandria via LeMat-Bulk.

a = 3.734 Å, b = 3.734 Å, c = 5.684 Å
α = 90.00°, β = 90.00°, γ = 90.00°
Last column: magnetic moment on the atom in μB.
Positions (direct):
F: 0.000 0.000 0.500  0.22
F: 0.000 0.000 0.000  0.10
O: 0.500 0.000 0.000  1.05
O: 0.000 0.500 0.000  1.05
Rb: 0.500 0.500 0.500  0.01

Summary:
- Magnetic moment: 0.5727 μB per atom
- Density: 3.3 g cm⁻³
- DFT total energy: -3.00 eV per atom
- Raw formation energy: 75 meV per atom

=====

(5)
The following is a GGA-PBEsol calculation of crystalline Sb2RhAu at its relaxed geometry, from Alexandria via LeMat-Bulk.

a = 3.481 Å, b = 3.481 Å, c = 7.951 Å
α = 77.35°, β = 77.35°, γ = 60.00°
Positions (direct):
Au: 0.000 0.000 0.000
Sb: 0.757 0.757 0.729
Sb: 0.243 0.243 0.271
Rh: 0.500 0.500 0.500

Summary:
- Magnetic moment: 0.0000 μB per atom
- Density: 11.2 g cm⁻³
- DFT total energy: -5.41 eV per atom
- Raw formation energy: -118 meV per atom

=====

(6)
The following is a GGA-PBEsol calculation of crystalline CoCl2F at its relaxed geometry, from Alexandria via LeMat-Bulk.

a = 3.332 Å, b = 3.332 Å, c = 7.873 Å
α = 77.78°, β = 77.78°, γ = 60.00°
Last column: magnetic moment on the atom in μB.
Positions (direct):
F: 0.500 0.500 0.500  0.47
Cl: 0.912 0.912 0.265  0.33
Cl: 0.088 0.088 0.735  0.33
Co: 0.000 0.000 0.000  2.29

Summary:
- Magnetic moment: 0.9166 μB per atom
- Density: 3.4 g cm⁻³
- DFT total energy: -3.30 eV per atom
- Raw formation energy: 125 meV per atom

=====

(7)
The following is a GGA-PBEsol calculation of crystalline Na2TeHSO5F3 at its relaxed geometry, from Alexandria via LeMat-Bulk.

a = 7.584 Å, b = 8.060 Å, c = 10.690 Å
α = 89.37°, β = 90.00°, γ = 90.00°
Positions (direct):
H: 0.633 0.066 0.428
H: 0.367 0.934 0.572
H: 0.133 0.934 0.072
H: 0.867 0.066 0.928
O: 0.851 0.955 0.883
O: 0.734 0.384 0.866
O: 0.064 0.679 0.444
O: 0.687 0.506 0.567
O: 0.266 0.616 0.134
O: 0.136 0.786 0.974
O: 0.351 0.045 0.617
O: 0.766 0.384 0.366
O: 0.564 0.321 0.056
O: 0.149 0.045 0.117
O: 0.864 0.214 0.026
O: 0.813 0.506 0.067
O: 0.649 0.955 0.383
O: 0.313 0.494 0.433
O: 0.936 0.321 0.556
O: 0.636 0.214 0.526
O: 0.234 0.616 0.634
O: 0.436 0.679 0.944
O: 0.187 0.494 0.933
O: 0.364 0.786 0.474
F: 0.899 0.852 0.181
F: 0.566 0.978 0.134
F: 0.066 0.022 0.366
F: 0.101 0.148 0.819
F: 0.414 0.303 0.740
F: 0.086 0.303 0.240
F: 0.586 0.697 0.260
F: 0.399 0.148 0.319
F: 0.934 0.978 0.634
F: 0.601 0.852 0.681
F: 0.434 0.022 0.866
F: 0.914 0.697 0.760
Na: 0.518 0.573 0.744
Na: 0.204 0.231 0.477
Na: 0.982 0.573 0.244
Na: 0.796 0.769 0.523
Na: 0.704 0.769 0.023
Na: 0.018 0.427 0.756
Na: 0.482 0.427 0.256
Na: 0.296 0.231 0.977
Te: 0.056 0.902 0.786
Te: 0.944 0.098 0.214
Te: 0.444 0.902 0.286
Te: 0.556 0.098 0.714
S: 0.238 0.638 0.497
S: 0.762 0.362 0.503
S: 0.262 0.638 0.997
S: 0.738 0.362 0.003

Summary:
- Magnetic moment: 0.0000 μB per atom
- Density: 3.5 g cm⁻³
- DFT total energy: -5.36 eV per atom

=====

(8)
The following is a GGA-PBEsol calculation of crystalline Y2Al2Cl at its relaxed geometry, from Alexandria via LeMat-Bulk.

a = 5.682 Å, b = 5.741 Å, c = 5.682 Å
α = 60.34°, β = 90.00°, γ = 119.66°
Positions (direct):
Al: 0.349 0.699 0.651
Al: 0.651 0.301 0.349
Y: 0.250 0.500 0.250
Y: 0.750 0.500 0.750
Cl: 0.000 0.000 0.000

Summary:
- Magnetic moment: 0.0007 μB per atom
- Density: 3.4 g cm⁻³
- DFT total energy: -4.75 eV per atom
- Raw formation energy: 15 meV per atom